A relaxed structure of MnInSb, computed with PBE.

Calculated values
The calculation puts the mass density at 7.2 g/cm³. The energy above the most stable polymorph in this dataset comes out at 0.219 eV/f.u. The uncorrected formation energy is 0.239 eV per atom.

Cell: 3.511 3.511 6.307 Å, 90.00 90.00 120.00°
Atoms (fractional coordinates):
Mn  0.000  0.000  0.000
In  0.333  0.667  0.688
Sb  0.667  0.333  0.268


A relaxed structure of Na4Y3NpS8, computed with PBE.

Calculated values
The calculation puts the mass density at 3.8 g/cm³. The uncorrected formation energy is -1.715 eV per atom.

Cell: 8.125 8.125 8.125 Å, 59.04 59.04 59.04°
Atoms (fractional coordinates):
Na  0.000  0.000  0.000
Na  0.000  0.500  0.500
Na  0.500  0.000  0.500
Na  0.500  0.500  0.000
Y  0.000  0.000  0.500
Y  0.000  0.500  0.000
Y  0.500  0.000  0.000
Np  0.500  0.500  0.500
S  0.240  0.744  0.744
S  0.243  0.243  0.243
S  0.256  0.256  0.760
S  0.256  0.760  0.256
S  0.744  0.240  0.744
S  0.744  0.744  0.240
S  0.757  0.757  0.757
S  0.760  0.256  0.256


A relaxed structure of Pr4Nd5Sm, computed with PBE.

Calculated values
The calculation puts the mass density at 6.7 g/cm³. The calculation puts the energy of formation from the pure elements at 127 kJ/mol of formula units. The energy above the most stable polymorph in this dataset comes out at 0.000 eV/f.u.

Cell: 14.680 14.680 6.997 Å, 97.02 97.02 13.85°
Atoms (fractional coordinates):
Pr  0.094  0.094  0.299
Pr  0.393  0.393  0.193
Pr  0.607  0.607  0.807
Pr  0.906  0.906  0.701
Nd  0.202  0.202  0.601
Nd  0.206  0.206  0.103
Nd  0.500  0.500  0.500
Nd  0.794  0.794  0.897
Nd  0.798  0.798  0.399
Sm  0.500  0.500  0.000


A relaxed structure of Sc3InO, computed with PBE.

Calculated values
The calculation puts the mass density at 4.1 g/cm³. The uncorrected formation energy is -1.059 eV per atom.

Cell: 7.068 7.068 7.068 Å, 128.05 128.05 76.54°
Atoms (fractional coordinates):
Sc  0.127  0.127  0.000
Sc  0.372  0.622  0.750
Sc  0.378  0.128  0.750
Sc  0.378  0.628  0.250
Sc  0.872  0.622  0.250
Sc  0.873  0.873  0.000
In  0.618  0.118  0.500
In  0.882  0.382  0.500
O  0.250  0.750  0.500
O  0.500  0.500  0.000


A relaxed structure of LiHgRhPb2, computed with PBE.

Calculated values
The calculation puts the mass density at 9.0 g/cm³. The calculation puts the energy of formation from the pure elements at -13 kJ/mol of formula units.

Cell: 5.233 5.233 4.888 Å, 90.00 90.00 90.00°
Atoms (fractional coordinates):
Li  0.000  0.000  0.000
Hg  0.500  0.500  0.000
Rh  0.000  0.000  0.500
Pb  0.000  0.500  0.500
Pb  0.500  0.000  0.500


A relaxed structure of NdNi2As, computed with PBE.

Calculated values
The calculation puts the mass density at 7.2 g/cm³. The calculation puts the energy of formation from the pure elements at -192 kJ/mol of formula units.

Cell: 3.946 4.032 4.880 Å, 90.00 90.00 90.00°
Atoms (fractional coordinates):
Nd  0.000  0.000  0.000
Ni  0.500  0.500  0.245
Ni  0.500  0.500  0.755
As  0.000  0.500  0.500


A relaxed structure of ZrFeSi, computed with PBE.

Calculated values
The calculation puts the mass density at 6.2 g/cm³. The uncorrected formation energy is -0.507 eV per atom.

Cell: 5.320 5.320 5.202 Å, 105.89 105.89 41.85°
Atoms (fractional coordinates):
Zr  0.000  0.000  0.000
Zr  0.223  0.223  0.608
Fe  0.334  0.334  0.180
Fe  0.533  0.533  0.577
Si  0.711  0.711  0.993
Si  0.902  0.902  0.452


A relaxed structure of Dy6Cd2Sn, computed with PBE.

Calculated values
The calculation puts the mass density at 8.4 g/cm³. The calculation puts the energy of formation from the pure elements at -217 kJ/mol of formula units.

Cell: 8.778 8.778 8.778 Å, 110.75 110.12 107.56°
Atoms (fractional coordinates):
Dy  0.055  0.231  0.824
Dy  0.254  0.299  0.553
Dy  0.254  0.701  0.955
Dy  0.265  0.586  0.321
Dy  0.265  0.944  0.679
Dy  0.406  0.231  0.176
Dy  0.594  0.769  0.824
Dy  0.735  0.056  0.321
Dy  0.735  0.414  0.679
Dy  0.746  0.299  0.045
Dy  0.746  0.701  0.447
Dy  0.945  0.769  0.176
Cd  0.000  0.141  0.141
Cd  0.000  0.859  0.859
Cd  0.362  0.000  0.362
Cd  0.638  0.000  0.638
Sn  0.000  0.500  0.500
Sn  0.500  0.500  0.000


A relaxed structure of VNi3Pt7, computed with PBE.

Calculated values
The calculation puts the mass density at 15.7 g/cm³. The calculation puts the energy of formation from the pure elements at 75 kJ/mol of formula units.

Cell: 6.486 6.486 4.635 Å, 110.90 110.90 90.16°
Atoms (fractional coordinates):
V  0.000  0.000  0.000
Ni  0.269  0.731  0.500
Ni  0.500  0.500  0.000
Ni  0.731  0.269  0.500
Pt  0.000  0.000  0.500
Pt  0.092  0.572  0.832
Pt  0.325  0.325  0.327
Pt  0.428  0.908  0.168
Pt  0.572  0.092  0.832
Pt  0.675  0.675  0.673
Pt  0.908  0.428  0.168


Number 1: E_tot -5.10 eV/atom. Number 2: E_tot -6.13 eV/atom. Number 3: E_tot -4.64 eV/atom. Number 4: E_tot -6.40 eV/atom. Number 5: E_tot -3.42 eV/atom. Number 6: E_tot -5.74 eV/atom. Number 7: E_tot -7.99 eV/atom. Number 8: E_tot -3.97 eV/atom. Number 9: E_tot -6.18 eV/atom.